# 1
DFT (PBE) results for La2ScU2Ru5 after structural relaxation.

## Properties
- density of states at the Fermi level (states/eV/cell) = 15.97

```
data_La2ScU2Ru5
_chemical_formula_sum 'La4 Sc2 U4 Ru10'
_cell_length_a 11.0448
_cell_length_b 11.0448
_cell_length_c 3.3257
_cell_angle_alpha 90.00
_cell_angle_beta 90.00
_cell_angle_gamma 90.00
_symmetry_space_group_name_H-M 'P 4/m b m'
_symmetry_Int_Tables_number 127
_symmetry_space_group_name_Hall '-P 4 2ab'
loop_
_atom_site_label
_atom_site_type_symbol
_atom_site_fract_x
_atom_site_fract_y
_atom_site_fract_z
_atom_site_occupancy
La1 La 0.1616 0.3384 0.0000 1
Sc1 Sc 0.0000 0.0000 0.0000 1
U1 U 0.1543 0.6543 0.0000 1
Ru1 Ru 0.0000 0.5000 0.5000 1
Ru2 Ru 0.0613 0.8013 0.5000 1
```


# 2
DFT (PBE) results for LaYSc2Ru after structural relaxation.

## Properties
- density of states at the Fermi level (states/eV/cell) = 7.57
- polymorph energy (0 for the lowest one) (eV/atom) = 0.087

```
data_LaYSc2Ru
_chemical_formula_sum 'La1 Y1 Sc2 Ru1'
_cell_length_a 5.1881
_cell_length_b 5.1881
_cell_length_c 5.3240
_cell_angle_alpha 90.00
_cell_angle_beta 90.00
_cell_angle_gamma 90.00
_symmetry_space_group_name_H-M 'P 4/m m m'
_symmetry_Int_Tables_number 123
_symmetry_space_group_name_Hall '-P 4 2'
loop_
_atom_site_label
_atom_site_type_symbol
_atom_site_fract_x
_atom_site_fract_y
_atom_site_fract_z
_atom_site_occupancy
La1 La 0.0000 0.0000 0.0000 1
Y1 Y 0.5000 0.5000 0.0000 1
Sc1 Sc 0.0000 0.5000 0.5000 1
Ru1 Ru 0.0000 0.0000 0.5000 1
```


# 3
DFT (PBE) results for LaY2ScRu after structural relaxation.

## Properties
- density of states at the Fermi level (states/eV/cell) = 6.58

```
data_LaY2ScRu
_chemical_formula_sum 'La1 Y2 Sc1 Ru1'
_cell_length_a 5.4263
_cell_length_b 5.4263
_cell_length_c 5.1323
_cell_angle_alpha 90.00
_cell_angle_beta 90.00
_cell_angle_gamma 90.00
_symmetry_space_group_name_H-M 'P 4/m m m'
_symmetry_Int_Tables_number 123
_symmetry_space_group_name_Hall '-P 4 2'
loop_
_atom_site_label
_atom_site_type_symbol
_atom_site_fract_x
_atom_site_fract_y
_atom_site_fract_z
_atom_site_occupancy
La1 La 0.0000 0.0000 0.0000 1
Y1 Y 0.0000 0.5000 0.5000 1
Sc1 Sc 0.5000 0.5000 0.0000 1
Ru1 Ru 0.5000 0.5000 0.5000 1
```


| no. | formation enthalpy at 0 K (eV/atom) |
| --- | --- |
| 1 | -0.23 |
| 2 | -0.05 |
| 3 | -0.11 |